# WF

A geometry-optimized WF structure (PBE with a Hubbard U, Alexandria via LeMat-Bulk).

Values from the calculation:
- VASP energy: -4.891 eV per atom
- Space group: I4/m (87)
- D(E_F): 0.55 states/eV/f.u.
- Magnetic moment: 0.00 μB per formula unit

Cell: 6.619 6.619 6.619 Å, 92.41 92.41 156.32°
Atoms (fractional coordinates):
W 0.131 0.348 0.479
W 0.348 0.869 0.217
W 0.652 0.131 0.783
W 0.869 0.652 0.521
F 0.305 0.510 0.815
F 0.490 0.305 0.795
F 0.510 0.695 0.205
F 0.695 0.490 0.185